No. 1
This record from the Alexandria database describes an optimized crystal structure of RbTiCuF2. The functional is PBE.

Lattice parameters (Å, degrees): 4.1138 8.1309 4.1138 90.00 90.00 90.00
Sites, in units of the cell vectors:
F (0.0000, 0.0000, 0.5000)
F (0.5000, 0.0000, 0.0000)
Cu (0.5000, 0.5000, 0.5000)
Rb (0.0000, 0.5000, 0.0000)
Ti (0.0000, 0.0000, 0.0000)

* density of states at the Fermi level: 2.94 states/eV per cell
* spin magnetization: 0.0 μB/f.u.
* crystal system: tetragonal
* energy relative to the elements, uncorrected: -5.29 eV/f.u.
* space-group type: P4/mmm
* DFT total energy: -4.399 eV per atom


No. 2
This record from the Alexandria database describes an optimized crystal structure of Rb2TiCuF6. The functional is PBE.

Lattice parameters (Å, degrees): 6.4748 6.4748 6.0574 57.69 57.69 90.00
Sites, in units of the cell vectors:
F (0.2408, 0.2408, 0.5185)
F (0.7592, 0.7592, 0.4815)
F (0.2849, 0.2849, 0.0000)
F (0.7151, 0.7151, 0.0000)
F (0.7151, 0.2849, 0.0000)
F (0.2849, 0.7151, 0.0000)
Cu (0.0000, 0.0000, 0.0000)
Rb (0.7500, 0.2500, 0.5000)
Rb (0.2500, 0.7500, 0.5000)
Ti (0.5000, 0.5000, 0.0000)

* density of states at the Fermi level: 4.12 states/eV per cell
* spin magnetization: 1.0 μB/f.u.
* crystal system: tetragonal
* energy relative to the elements, uncorrected: -26.59 eV/f.u.
* space-group type: I4/mmm
* DFT total energy: -5.175 eV per atom


No. 3
This record from the Alexandria database describes an optimized crystal structure of Rb2TlCu2F7. The functional is PBE.

Lattice parameters (Å, degrees): 4.1877 4.1877 11.3745 79.32 79.32 90.00
Sites, in units of the cell vectors:
Rb (0.8145, 0.8145, 0.3685)
Rb (0.1855, 0.1855, 0.6315)
Tl (0.0000, 0.0000, 0.0000)
Cu (0.5948, 0.5948, 0.8128)
Cu (0.4052, 0.4052, 0.1872)
F (0.5000, 0.5000, 0.0000)
F (0.3131, 0.3131, 0.3703)
F (0.6869, 0.6869, 0.6297)
F (0.9046, 0.4047, 0.1889)
F (0.4047, 0.9046, 0.1889)
F (0.5953, 0.0954, 0.8111)
F (0.0954, 0.5953, 0.8111)

* density of states at the Fermi level: 2.49 states/eV per cell
* spin magnetization: 2.0 μB/f.u.
* crystal system: monoclinic
* energy relative to the elements, uncorrected: -24.08 eV/f.u.
* space-group type: C2/m
* DFT total energy: -4.139 eV per atom


DFT total energy of number 2 (Rb2TiCuF6)? -5.175 eV per atom


Which of these has the highest spin magnetization? Rb2TlCu2F7


Repeat the third record exactly.
This record from the Alexandria database describes an optimized crystal structure of Rb2TlCu2F7. The functional is PBE.

Lattice parameters (Å, degrees): 4.1877 4.1877 11.3745 79.32 79.32 90.00
Sites, in units of the cell vectors:
Rb (0.8145, 0.8145, 0.3685)
Rb (0.1855, 0.1855, 0.6315)
Tl (0.0000, 0.0000, 0.0000)
Cu (0.5948, 0.5948, 0.8128)
Cu (0.4052, 0.4052, 0.1872)
F (0.5000, 0.5000, 0.0000)
F (0.3131, 0.3131, 0.3703)
F (0.6869, 0.6869, 0.6297)
F (0.9046, 0.4047, 0.1889)
F (0.4047, 0.9046, 0.1889)
F (0.5953, 0.0954, 0.8111)
F (0.0954, 0.5953, 0.8111)

* density of states at the Fermi level: 2.49 states/eV per cell
* spin magnetization: 2.0 μB/f.u.
* crystal system: monoclinic
* energy relative to the elements, uncorrected: -24.08 eV/f.u.
* space-group type: C2/m
* DFT total energy: -4.139 eV per atom